# CaSi2Mo

An optimized crystal structure of CaSi2Mo (GGA-PBE, Alexandria via LeMat-Bulk).

- E_form (uncorrected) (eV per atom) = 0.204

Cell lengths 4.9553, 4.9553, 2.8846 Å; angles 90.00, 90.00, 107.83 degrees
Closest atoms and distances in Å follow each position.
Fractional coordinates of all 4 atoms:
1 Ca 0.5000 0.0000 0.5000  8 Si 2.87, 2 Ca 2.88, 2 Mo 2.92
2 Mo 0.0000 0.5000 0.5000  8 Si 2.87, 2 Mo 2.88, 2 Ca 2.92
3 Si 0.0000 0.0000 0.0000  4 Mo 2.87, 4 Ca 2.87, 4 Si 2.88-2.92
4 Si 0.5000 0.5000 0.0000  4 Ca 2.87, 4 Mo 2.87, 4 Si 2.88-2.92


# DyTmPdAu

An optimized crystal structure of DyTmPdAu (GGA-PBE, Alexandria via LeMat-Bulk).

- DFT formation energy (kJ per mole of atoms) = -85.2

Cell lengths 4.9946, 4.9946, 4.9946 Å; angles 60.00, 60.00, 60.00 degrees
Closest atoms and distances in Å follow each position.
Fractional coordinates of all 4 atoms:
1 Tm 0.7500 0.7500 0.7500  4 Pd 3.06, 4 Au 3.06
2 Au 0.0000 0.0000 0.0000  4 Tm 3.06, 4 Dy 3.06
3 Pd 0.5000 0.5000 0.5000  4 Dy 3.06, 4 Tm 3.06
4 Dy 0.2500 0.2500 0.2500  4 Pd 3.06, 4 Au 3.06


# SmY3ErSc

An optimized crystal structure of SmY3ErSc (GGA-PBE, Alexandria via LeMat-Bulk).

- DFT formation energy (kJ per mole of atoms) = 4.0

Cell lengths 4.9594, 7.8735, 9.9822 Å; angles 90.00, 90.00, 108.36 degrees
Closest atoms and distances in Å follow each position.
Fractional coordinates of all 12 atoms:
1 Sm 0.4970 0.9941 0.7500  6 Y 3.48-3.57, 2 Sc 3.49, 4 Er 3.52
2 Sm 0.5030 0.0059 0.2500  6 Y 3.48-3.57, 2 Sc 3.49, 4 Er 3.52
3 Y 0.6665 0.3330 0.4988  2 Sm 3.48-3.56, 5 Y 3.50-3.53, 3 Sc 3.51-3.53, 2 Er 3.51
4 Y 0.3335 0.6670 0.5012  2 Sm 3.48-3.56, 5 Y 3.50-3.53, 3 Sc 3.51-3.53, 2 Er 3.51
5 Y 0.3335 0.6670 0.9988  2 Sm 3.48-3.56, 5 Y 3.50-3.53, 3 Sc 3.51-3.53, 2 Er 3.51
6 Y 0.6665 0.3330 0.0012  2 Sm 3.48-3.56, 5 Y 3.50-3.53, 3 Sc 3.51-3.53, 2 Er 3.51
7 Y 0.1687 0.3375 0.7500  2 Sc 3.49, 6 Y 3.50-3.53, 2 Er 3.55, 2 Sm 3.57
8 Y 0.8313 0.6625 0.2500  2 Sc 3.49, 6 Y 3.50-3.53, 2 Er 3.55, 2 Sm 3.57
9 Er 0.0000 0.0000 0.5000  6 Y 3.51-3.55, 4 Sm 3.52, 2 Sc 3.53
10 Er 0.0000 0.0000 0.0000  6 Y 3.51-3.55, 4 Sm 3.52, 2 Sc 3.53
11 Sc 0.8330 0.6661 0.7500  2 Sm 3.49, 8 Y 3.49-3.53, 2 Er 3.53
12 Sc 0.1670 0.3339 0.2500  2 Sm 3.49, 8 Y 3.49-3.53, 2 Er 3.53


# SmAl4Zn

An optimized crystal structure of SmAl4Zn (GGA-PBE, Alexandria via LeMat-Bulk).

- DFT formation energy (kJ per mole of atoms) = -12.5

Cell lengths 5.5213, 5.5213, 5.5213 Å; angles 60.00, 60.00, 60.00 degrees
Closest atoms and distances in Å follow each position.
Fractional coordinates of all 6 atoms:
1 Zn 0.0000 0.0000 0.0000  12 Al 3.24, 4 Sm 3.38
2 Al 0.6246 0.6246 0.1262  6 Al 2.75-2.77
3 Al 0.6246 0.1262 0.6246  6 Al 2.75-2.77
4 Al 0.6246 0.6246 0.6246  6 Al 2.75-2.77
5 Al 0.1262 0.6246 0.6246  6 Al 2.75-2.77
6 Sm 0.2500 0.2500 0.2500  12 Al 3.24, 4 Zn 3.38


# Ba2Li4Pd

An optimized crystal structure of Ba2Li4Pd (GGA-PBE, Alexandria via LeMat-Bulk).

- DFT formation energy (kJ per mole of atoms) = -3.6

Cell lengths 5.0516, 5.0516, 9.7774 Å; angles 104.97, 104.97, 90.00 degrees
Closest atoms and distances in Å follow each position.
Fractional coordinates of all 7 atoms:
1 Ba 0.6550 0.6550 0.3100  9 Li 3.60-3.88
2 Ba 0.3450 0.3450 0.6900  9 Li 3.60-3.88
3 Pd 0.0000 0.0000 0.0000  6 Li 2.40-2.53
4 Li 0.8683 0.8683 0.7366  1 Pd 2.40
5 Li 0.1317 0.1317 0.2634  1 Pd 2.40
6 Li 0.0000 0.5000 0.0000  2 Pd 2.53
7 Li 0.5000 0.0000 0.0000  2 Pd 2.53


# AcY3Ho7

An optimized crystal structure of AcY3Ho7 (GGA-PBE, Alexandria via LeMat-Bulk).

- DFT formation energy (kJ per mole of atoms) = 21.0

Cell lengths 8.6991, 7.0941, 7.0941 Å; angles 120.00, 90.00, 90.00 degrees
Closest atoms and distances in Å follow each position.
Fractional coordinates of all 11 atoms:
1 Ac 0.4453 0.3333 0.6667  9 Ho 3.52-3.55, 3 Y 3.63
2 Y 0.7880 0.5018 0.4982  4 Y 3.51-3.59, 5 Ho 3.52-3.60, 1 Ac 3.63
3 Y 0.7880 0.5018 0.0036  4 Y 3.51-3.59, 5 Ho 3.52-3.60, 1 Ac 3.63
4 Y 0.7880 0.9964 0.4982  4 Y 3.51-3.59, 5 Ho 3.52-3.60, 1 Ac 3.63
5 Ho 0.1157 0.1669 0.8331  2 Y 3.52, 1 Ac 3.52, 8 Ho 3.54-3.55
6 Ho 0.1157 0.1669 0.3339  2 Y 3.52, 1 Ac 3.52, 8 Ho 3.54-3.55
7 Ho 0.1190 0.6667 0.3333  9 Ho 3.50-3.55, 3 Y 3.52
8 Ho 0.4466 0.8319 0.1681  7 Ho 3.50-3.58, 2 Ac 3.55, 2 Y 3.60
9 Ho 0.4466 0.3362 0.1681  7 Ho 3.50-3.58, 2 Ac 3.55, 2 Y 3.60
10 Ho 0.4466 0.8319 0.6638  7 Ho 3.50-3.58, 2 Ac 3.55, 2 Y 3.60
11 Ho 0.1157 0.6661 0.8331  2 Y 3.52, 1 Ac 3.52, 8 Ho 3.54-3.55


no.,total moment (μB/atom)
1,0.00
2,0.00
3,0.00
4,0.00
5,0.00
6,0.00